[1]
YFeIr2 after structural relaxation. Source: Alexandria via LeMat-Bulk, functional PBE-GGA.

Unit cell a=4.569 b=4.569 c=4.569 alpha=60.00 beta=60.00 gamma=60.00
Sites, in units of the cell vectors:
Y 0.000 0.000 0.000
Fe 0.250 0.250 0.250
Ir 0.500 0.500 0.500
Ir 0.750 0.750 0.750

Its energy relative to the elements is 24 meV/atom.

***

[2]
YFeIr2 after structural relaxation. Source: Alexandria via LeMat-Bulk, functional PBE-GGA.

Unit cell a=5.404 b=5.404 c=4.822 alpha=115.01 beta=115.01 gamma=32.32
Sites, in units of the cell vectors:
Y 0.000 0.000 0.000
Fe 0.224 0.224 0.806
Ir 0.499 0.499 0.483
Ir 0.765 0.765 0.398

Its energy relative to the elements is -98 meV/atom.

***

[3]
YFeIr2 after structural relaxation. Source: Alexandria via LeMat-Bulk, functional PBE-GGA.

Unit cell a=2.931 b=4.312 c=5.496 alpha=90.00 beta=104.53 gamma=90.00
Sites, in units of the cell vectors:
Y 0.000 0.000 0.000
Fe 0.500 0.000 0.500
Ir 0.343 0.500 0.715
Ir 0.657 0.500 0.285

Its energy relative to the elements is -126 meV/atom.

***

no.,D(E_F) (states/eV/f.u.),final energy (eV per atom)
1,5.3,-8.14
2,3.9,-8.26
3,3.5,-8.29